VHRu2I | PBE | relaxed

CIF file:
```
data_VHRu2I
_symmetry_space_group_name_H-M 'P 4/m m m'
_symmetry_Int_Tables_number 123
_symmetry_space_group_name_Hall '-P 4 2'
_cell_length_a 4.504
_cell_length_b 4.504
_cell_length_c 5.407
_cell_angle_alpha 90.00
_cell_angle_beta 90.00
_cell_angle_gamma 90.00
loop_
_atom_site_label
_atom_site_fract_x
_atom_site_fract_y
_atom_site_fract_z
V1 0.000 0.000 0.000
H1 0.500 0.500 0.500
Ru1 0.000 0.500 0.000
I1 0.000 0.000 0.500
```

Summary:
Size of the total moment ... 0.61 μB per atom
Fermi-level density of states ... 4.83 states/eV per cell
E_tot ... -4.89 eV/atom



HSI3 | PBE | relaxed

CIF file:
```
data_HSI3
_symmetry_space_group_name_H-M 'P m -3 m'
_symmetry_Int_Tables_number 221
_symmetry_space_group_name_Hall '-P 4 2 3'
_cell_length_a 4.966
_cell_length_b 4.966
_cell_length_c 4.966
_cell_angle_alpha 90.00
_cell_angle_beta 90.00
_cell_angle_gamma 90.00
loop_
_atom_site_label
_atom_site_fract_x
_atom_site_fract_y
_atom_site_fract_z
H1 0.000 0.000 0.000
S1 0.500 0.500 0.500
I1 0.000 0.000 0.500
```

Summary:
Size of the total moment ... 0.06 μB per atom
E above lowest polymorph ... 85.2 kJ per mole of atoms
Fermi-level density of states ... 5.17 states/eV per cell
E_tot ... -1.43 eV/atom



HS5I | PBE | relaxed

CIF file:
```
data_HS5I
_symmetry_space_group_name_H-M 'P 1'
_symmetry_Int_Tables_number 1
_cell_length_a 4.338
_cell_length_b 7.639
_cell_length_c 7.968
_cell_angle_alpha 69.92
_cell_angle_beta 75.35
_cell_angle_gamma 87.05
loop_
_symmetry_equiv_pos_as_xyz
'x,y,z'
loop_
_atom_site_label
_atom_site_fract_x
_atom_site_fract_y
_atom_site_fract_z
H1 0.000 0.000 0.000
S1 0.028 0.588 0.432
S2 0.054 0.220 0.150
S3 0.287 0.450 0.620
S4 0.338 0.130 0.307
S5 0.614 0.651 0.593
I1 0.855 0.865 0.913
```

Summary:
Size of the total moment ... 0.18 μB per atom
Fermi-level density of states ... 0.34 states/eV per cell
E_tot ... -3.48 eV/atom



H6S3I2 | PBE | relaxed

CIF file:
```
data_H6S3I2
_symmetry_space_group_name_H-M 'C 1 2/c 1'
_symmetry_Int_Tables_number 15
_cell_length_a 14.957
_cell_length_b 5.585
_cell_length_c 16.333
_cell_angle_alpha 90.00
_cell_angle_beta 98.73
_cell_angle_gamma 90.00
loop_
_symmetry_equiv_pos_as_xyz
'x,y,z'
'-x,-y,-z'
'-x,y,-z+1/2'
'x,-y,z+1/2'
'x+1/2,y+1/2,z'
'-x+1/2,-y+1/2,-z'
'-x+1/2,y+1/2,-z+1/2'
'x+1/2,-y+1/2,z+1/2'
loop_
_atom_site_label
_atom_site_fract_x
_atom_site_fract_y
_atom_site_fract_z
H1 0.018 0.002 0.195
H2 0.165 0.332 0.814
H3 0.235 0.397 0.282
S1 0.000 0.166 0.750
S2 0.249 0.420 0.837
I1 0.027 0.250 0.496
```

Summary:
Size of the total moment ... 0.00 μB per atom
E_tot ... -3.36 eV/atom



H2S4I | PBE | relaxed

CIF file:
```
data_H2S4I
_symmetry_space_group_name_H-M 'P 1'
_symmetry_Int_Tables_number 1
_cell_length_a 4.465
_cell_length_b 7.663
_cell_length_c 12.324
_cell_angle_alpha 87.08
_cell_angle_beta 79.82
_cell_angle_gamma 73.16
loop_
_symmetry_equiv_pos_as_xyz
'x,y,z'
loop_
_atom_site_label
_atom_site_fract_x
_atom_site_fract_y
_atom_site_fract_z
H1 0.000 0.000 0.000
H2 0.087 0.501 0.827
H3 0.193 0.284 0.328
H4 0.605 0.785 0.500
S1 0.079 0.800 0.593
S2 0.305 0.003 0.954
S3 0.347 0.503 0.873
S4 0.455 0.282 0.374
S5 0.489 0.985 0.093
S6 0.666 0.485 0.734
S7 0.757 0.300 0.235
S8 0.913 0.782 0.454
I1 0.573 0.642 0.164
I2 0.823 0.142 0.664
```

Summary:
Size of the total moment ... 0.12 μB per atom
Fermi-level density of states ... 5.64 states/eV per cell
E_tot ... -3.46 eV/atom



H7S2I2 | PBE | relaxed

CIF file:
```
data_H7S2I2
_symmetry_space_group_name_H-M 'C 1 2/m 1'
_symmetry_Int_Tables_number 12
_cell_length_a 10.338
_cell_length_b 9.393
_cell_length_c 4.799
_cell_angle_alpha 90.00
_cell_angle_beta 90.49
_cell_angle_gamma 90.00
loop_
_symmetry_equiv_pos_as_xyz
'x,y,z'
'-x,-y,-z'
'-x,y,-z'
'x,-y,z'
'x+1/2,y+1/2,z'
'-x+1/2,-y+1/2,-z'
'-x+1/2,y+1/2,-z'
'x+1/2,-y+1/2,z'
loop_
_atom_site_label
_atom_site_fract_x
_atom_site_fract_y
_atom_site_fract_z
H1 0.000 0.000 0.000
H2 0.127 0.500 0.868
H3 0.132 0.393 0.240
S1 0.208 0.500 0.095
I1 0.000 0.260 0.500
```

Summary:
Size of the total moment ... 0.09 μB per atom
Fermi-level density of states ... 0.00 states/eV per cell
E_tot ... -3.05 eV/atom



Q: Look up the size of the total moment of the third one.
A: 0.18 μB per atom



Q: Among the records above, which one has the highest size of the total moment?
A: VHRu2I